# MgAgCl

MgAgCl after structural relaxation (PBE-GGA, Alexandria via LeMat-Bulk).

Lattice parameters (Å, degrees): 7.0141 6.7886 3.2569 80.24 72.52 27.23
Closest atoms and distances in Å follow each position.
Fractional positions:
Mg 0.0000 0.0000 0.0000  2 Cl 2.49, 2 Ag 2.72
Ag 0.6473 0.6473 0.3527  2 Mg 2.72
Cl 0.3798 0.3798 0.6202  2 Mg 2.49

Output
volume = 65.98 Å³/cell
crystal system = orthorhombic
E_form (uncorrected) = -13.03 kcal/mol of atoms
space-group type = Fmm2 (42)